## CaY3Bi (SCAN)

Data for CaY3Bi at its PBEsol-relaxed geometry.

Energy relative to the lowest polymorph listed for this composition (eV per formula unit): 3.88
Size of the total moment (μB per formula unit): 0.000
Fermi-level density of states (states/eV/f.u.): 3.9
Formation energy (eV per atom): 0.79

abc: 5.4381 5.4381 5.4381
angles: 90.00 90.00 90.00
Last column: nearest neighbours and their distance in Å.
Space group Pm-3m (No. 221)
Asymmetric unit:
1 Ca 0.0000 0.0000 0.0000 x1  6 Y 2.72
2 Y 0.0000 0.0000 0.5000 x3  2 Ca 2.72
3 Bi 0.5000 0.5000 0.5000 x1  12 Y 3.85